Record 1
Material: La2Pr4TmMg
Method: DFT, PBE
State: optimized geometry

Cell: 5.098 5.098 10.422 Å, 90.00 90.00 90.00°
Space group P4/mmm (No. 123)
Unique sites:
La (0.000, 0.000, 0.000) [1 per cell]
La (0.500, 0.500, 0.500) [1 per cell]
Pr (0.000, 0.500, 0.249) [4 per cell]
Tm (0.000, 0.000, 0.500) [1 per cell]
Mg (0.500, 0.500, 0.000) [1 per cell]

## Properties
electronic total energy = -4.3733 eV/atom
magnetic moment = 0.00 μB per formula unit

Record 2
Material: PmHo3Ni2
Method: DFT, PBE
State: optimized geometry

Cell: 16.069 3.900 11.444 Å, 90.00 123.64 90.00°
Space group C2/m (No. 12)
Unique sites:
Pm (0.151, 0.000, 0.244) [4 per cell]
Ho (0.082, 0.500, 0.444) [4 per cell]
Ho (0.084, 0.500, 0.938) [4 per cell]
Ho (0.154, 0.000, 0.747) [4 per cell]
Ni (0.231, 0.000, 0.550) [4 per cell]
Ni (0.232, 0.000, 0.048) [4 per cell]

## Properties
electronic total energy = -5.2853 eV/atom
magnetic moment = 0.00 μB per formula unit

Record 3
Material: Dy2Zn17
Method: DFT, PBE
State: optimized geometry

Cell: 8.9594 8.9594 13.1501 Å, 90.00 90.00 120.00°
Space group R-3m (No. 166, hexagonal axes)
Unique sites:
Dy (0.0000, 0.0000, 0.1649) [6 per cell]
Zn (0.0000, 0.0000, 0.4002) [6 per cell]
Zn (0.0000, 0.2972, 0.5000) [18 per cell]
Zn (0.0000, 0.5000, 0.0000) [9 per cell]
Zn (0.0101, 0.5050, 0.6524) [18 per cell]

## Properties
polymorph energy (0 for the lowest one) = 0.0000 eV per atom
magnetic moment = 0.00 μB per formula unit

Record 4
Material: Tb2PrSm6Ho
Method: DFT, PBE
State: optimized geometry

Cell: 9.230 15.243 9.674 Å, 90.00 97.21 90.00°
Space group C2/c (No. 15)
Unique sites:
Tb (0.248, 0.050, 0.454) [8 per cell]
Pr (0.000, 0.474, 0.250) [4 per cell]
Sm (0.063, 0.317, 0.944) [8 per cell]
Sm (0.099, 0.109, 0.119) [8 per cell]
Sm (0.211, 0.276, 0.315) [8 per cell]
Ho (0.000, 0.090, 0.750) [4 per cell]

## Properties
electronic total energy = -4.5771 eV/atom
magnetic moment = 0.00 μB per formula unit

Record 5
Material: TaOsPb
Method: DFT, PBE
State: optimized geometry

Cell: 3.3200 3.3200 6.8398 Å, 90.00 90.00 120.00°
Space group P3m1 (No. 156)
Unique sites:
Ta (0.0000, 0.0000, 0.0000) [1 per cell]
Os (0.6667, 0.3333, 0.2317) [1 per cell]
Pb (0.3333, 0.6667, 0.6070) [1 per cell]

## Properties
polymorph energy (0 for the lowest one) = 0.0946 eV per atom
magnetic moment = 0.00 μB per formula unit

Record 6
Material: KZrRu
Method: DFT, PBE
State: optimized geometry

Cell: 3.4496 3.4496 7.8467 Å, 90.00 90.00 120.00°
Space group P3m1 (No. 156)
Unique sites:
K (0.0000, 0.0000, 0.0000) [1 per cell]
Zr (0.3333, 0.6667, 0.5482) [1 per cell]
Ru (0.6667, 0.3333, 0.3459) [1 per cell]

## Properties
polymorph energy (0 for the lowest one) = 0.4657 eV per atom
magnetic moment = 0.00 μB per formula unit

Record 7
Material: TaTi6Bi
Method: DFT, PBE
State: optimized geometry

Cell: 4.560 6.708 9.521 Å, 90.00 90.00 90.00°
Space group Amm2 (No. 38)
Unique sites:
Ta (0.000, 0.000, 0.000) [2 per cell]
Ti (0.000, 0.000, 0.479) [2 per cell]
Ti (0.000, 0.222, 0.242) [4 per cell]
Ti (0.500, 0.000, 0.269) [2 per cell]
Ti (0.500, 0.239, 0.007) [4 per cell]
Bi (0.500, 0.000, 0.752) [2 per cell]

## Properties
electronic total energy = -7.8905 eV/atom
magnetic moment = 0.00 μB per formula unit

Record 8
Material: CaMnB14
Method: DFT, PBE
State: optimized geometry

Cell: 5.883 10.644 8.276 Å, 90.00 90.00 90.00°
Space group Imma (No. 74)
Unique sites:
Ca (0.000, 0.250, 0.136) [4 per cell]
Mn (0.250, 0.250, 0.750) [4 per cell]
B (0.000, 0.084, 0.669) [8 per cell]
B (0.000, 0.132, 0.872) [8 per cell]
B (0.000, 0.166, 0.469) [8 per cell]
B (0.159, 0.060, 0.339) [16 per cell]
B (0.248, 0.078, 0.546) [16 per cell]

## Properties
electronic total energy = -6.7064 eV/atom
magnetic moment = 4.15 μB per formula unit

Question: Which formula does entry 7 have?
Answer: TaTi6Bi